Density functional theory data (PBE) for a relaxed YW2Au crystal.

The structure belongs to space group P4/mmm (No. 123); the cell edges are 3.5100, 3.5100 and 6.5899 Å and the angles 90.00°, 90.00° and 90.00°. The inequivalent atoms are Y at (0.0000, 0.0000, 0.0000), W at (0.5000, 0.5000, 0.3135) and Au at (0.0000, 0.0000, 0.5000).

The value obtained for the formation enthalpy at 0 K is 0.629 eV per atom. As for the total energy: -8.2833 eV/atom. The value obtained for the energy above the lowest structure with this stoichiometry is 491 meV/atom.



Density functional theory data (PBE) for a relaxed CuHgCl2 crystal.

The structure belongs to space group C2/m (No. 12); the cell edges are 12.3903, 3.2505 and 7.2116 Å and the angles 90.00°, 124.38° and 90.00°. The inequivalent atoms are Cu at (0.0000, 0.0000, 0.0000), Hg at (0.0000, 0.5000, 0.5000) and Cl at (0.1560, 0.5000, 0.1554).

The energy relative to the elements, uncorrected is -0.364 eV per atom. As for the total energy: -2.3870 eV/atom. The value obtained for the energy above the lowest structure with this stoichiometry is 6 meV/atom.



Density functional theory data (PBE) for a relaxed Sm2YGa2Cu2 crystal.

The structure belongs to space group R-3m (No. 166, hexagonal axes); the cell edges are 4.3935, 4.3935 and 28.0786 Å and the angles 90.00°, 90.00° and 120.00°. The inequivalent atoms are Sm at (0.0000, 0.0000, 0.1232), Y at (0.0000, 0.0000, 0.0000), Ga at (0.0000, 0.0000, 0.2671) and Cu at (0.0000, 0.0000, 0.3942).

The value obtained for the formation enthalpy at 0 K is -0.394 eV per atom. As for the total energy: -4.7012 eV/atom.